*one*
Below is a relaxed MgCoSn3 crystal, with properties calculated at the PBE level.

Results
The value obtained for the spin magnetization is 0.0000 μB/atom.

a = 4.9709 Å, b = 4.9709 Å, c = 4.9709 Å
α = 90.00°, β = 90.00°, γ = 90.00°
With the nearest neighbours (Å) after each atom.
Space group Pm-3m (No. 221)
Symmetry-distinct sites (fractional):
Mg: 0.0000 0.0000 0.0000 [1 per cell]  12 Sn 3.51
Co: 0.5000 0.5000 0.5000 [1 per cell]  6 Sn 2.49
Sn: 0.0000 0.5000 0.5000 [3 per cell]  2 Co 2.49

---

*two*
Below is a relaxed MgCoSn3 crystal, with properties calculated at the PBE level.

Results
The value obtained for the spin magnetization is 0.0000 μB/atom.

a = 9.9105 Å, b = 8.4120 Å, c = 6.6717 Å
α = 90.00°, β = 126.91°, γ = 90.00°
With the nearest neighbours (Å) after each atom.
Space group C2/m (No. 12)
Symmetry-distinct sites (fractional):
Mg: 0.0567 0.0000 0.2533 [4 per cell]  2 Co 2.61-2.69, 1 Mg 2.85, 1 Sn 2.91
Co: 0.2354 0.5000 0.8809 [4 per cell]  5 Sn 2.52-2.73, 2 Mg 2.61-2.69
Sn: 0.0803 0.5000 0.3558 [4 per cell]  1 Co 2.52
Sn: 0.2077 0.2011 0.7539 [8 per cell]  2 Co 2.61-2.73

---

Of them, *two* has the highest stability.

---

*one*
Below is a relaxed Mg2CoSn2 crystal, with properties calculated at the PBE level.

Results
The value obtained for the spin magnetization is 0.0000 μB/atom.

a = 5.9996 Å, b = 4.3093 Å, c = 8.5776 Å
α = 90.00°, β = 101.90°, γ = 90.00°
With the nearest neighbours (Å) after each atom.
Space group P2_1/m (No. 11)
Symmetry-distinct sites (fractional):
Mg: 0.0332 0.2500 0.1208 [2 per cell]  3 Co 2.68-2.72, 2 Mg 2.96, 1 Sn 3.00
Mg: 0.3934 0.2500 0.5999 [2 per cell]  1 Co 2.63
Co: 0.2269 0.2500 0.8611 [2 per cell]  4 Sn 2.54-2.65, 4 Mg 2.63-2.72
Sn: 0.0971 0.7500 0.3815 [2 per cell]  1 Co 2.54
Sn: 0.4646 0.7500 0.8690 [2 per cell]  3 Co 2.58-2.65

---

*two*
Below is a relaxed Mg2CoSn2 crystal, with properties calculated at the PBE level.

Results
The value obtained for the spin magnetization is 0.0001 μB/atom.

a = 4.3152 Å, b = 4.3152 Å, c = 22.8925 Å
α = 90.00°, β = 90.00°, γ = 90.00°
With the nearest neighbours (Å) after each atom.
Space group I4_1/amd (No. 141, origin choice 2)
Symmetry-distinct sites (fractional):
Mg: 0.0000 0.2500 0.0504 [8 per cell]  2 Co 2.75, 5 Sn 3.03-3.08
Co: 0.0000 0.2500 0.3750 [4 per cell]  4 Sn 2.53, 4 Mg 2.75
Sn: 0.0000 0.2500 0.1827 [8 per cell]  2 Co 2.53

---

Of them, *two* has the highest stability.

---

*one*
Below is a relaxed SrMgCoSn2 crystal, with properties calculated at the PBE level.

Results
The value obtained for the spin magnetization is 0.0031 μB/atom.

a = 4.9966 Å, b = 4.9966 Å, c = 4.9323 Å
α = 90.00°, β = 90.00°, γ = 90.00°
With the nearest neighbours (Å) after each atom.
Space group P4/mmm (No. 123)
Symmetry-distinct sites (fractional):
Sr: 0.0000 0.0000 0.0000 [1 per cell]  8 Sn 3.51, 4 Mg 3.53
Mg: 0.5000 0.5000 0.0000 [1 per cell]  2 Co 2.47
Co: 0.5000 0.5000 0.5000 [1 per cell]  2 Mg 2.47, 4 Sn 2.50
Sn: 0.0000 0.5000 0.5000 [2 per cell]  2 Co 2.50

---

*two*
Below is a relaxed SrMgCoSn2 crystal, with properties calculated at the PBE level.

Results
The value obtained for the spin magnetization is 0.4151 μB/atom.

a = 5.2711 Å, b = 5.2711 Å, c = 5.9017 Å
α = 90.00°, β = 90.00°, γ = 90.00°
With the nearest neighbours (Å) after each atom.
Space group P4/mmm (No. 123)
Symmetry-distinct sites (fractional):
Sr: 0.0000 0.0000 0.0000 [1 per cell]  2 Mg 2.95
Mg: 0.0000 0.0000 0.5000 [1 per cell]  4 Sn 2.64, 2 Sr 2.95
Co: 0.5000 0.5000 0.0000 [1 per cell]  4 Sr 3.73, 8 Sn 3.96
Sn: 0.0000 0.5000 0.5000 [2 per cell]  2 Mg 2.64

---

Of them, *one* has the highest stability.